# SnBP2O (PBE-GGA, optimized geometry)
data_SnBP2O
_cell_length_a 5.142
_cell_length_b 5.142
_cell_length_c 3.880
_cell_angle_alpha 90.00
_cell_angle_beta 90.00
_cell_angle_gamma 90.00
_space_group_name_H-M_alt 'P 1'
_space_group_IT_number 1
loop_
_space_group_symop_operation_xyz
'x,y,z'
loop_
_atom_site_label
_atom_site_type_symbol
_atom_site_fract_x
_atom_site_fract_y
_atom_site_fract_z
_atom_site_occupancy
P1 P 0.000 0.500 0.000 1
P2 P 0.500 0.000 0.000 1
B1 B 0.500 0.500 0.500 1
Sn1 Sn 0.000 0.000 0.000 1
O1 O 0.000 0.000 0.500 1
# Symmetry: No. 123
# Magnetization in μB/cell: 0.00
# Excess energy over the best structure of this formula in the dataset in meV per atom: 1240
# ΔE_f (raw) in eV per atom: 1.3663